# 1
VASP calculation (PBE) on Ca9AlCo2 after structural relaxation.

Cell: 10.646 10.646 4.113 Å, 90.00 90.00 120.00°
Positions (direct):
1 Ca 0.000 0.500 0.000
2 Ca 0.207 0.414 0.500
3 Ca 0.207 0.793 0.500
4 Ca 0.414 0.207 0.500
5 Ca 0.500 0.000 0.000
6 Ca 0.500 0.500 0.000
7 Ca 0.586 0.793 0.500
8 Ca 0.793 0.207 0.500
9 Ca 0.793 0.586 0.500
10 Al 0.000 0.000 0.000
11 Co 0.333 0.667 0.000
12 Co 0.667 0.333 0.000

Calculated values
Formation enthalpy at 0 K, eV per atom: 0.3380
Raw total energy, eV per cell: -31.91
Symmetry: P6/mmm


# 2
VASP calculation (PBE) on CaAl8Co2 after structural relaxation.

Cell: 12.454 14.425 3.972 Å, 90.00 90.00 90.00°
Positions (direct):
1 Ca 0.159 0.181 0.000
2 Ca 0.341 0.681 0.000
3 Ca 0.659 0.319 0.000
4 Ca 0.841 0.819 0.000
5 Al 0.000 0.000 0.000
6 Al 0.000 0.500 0.500
7 Al 0.025 0.867 0.500
8 Al 0.048 0.320 0.500
9 Al 0.095 0.746 0.000
10 Al 0.161 0.620 0.500
11 Al 0.162 0.455 0.000
12 Al 0.168 0.008 0.500
13 Al 0.236 0.827 0.500
14 Al 0.264 0.327 0.500
15 Al 0.332 0.508 0.500
16 Al 0.338 0.955 0.000
17 Al 0.339 0.120 0.500
18 Al 0.405 0.246 0.000
19 Al 0.452 0.820 0.500
20 Al 0.475 0.367 0.500
21 Al 0.500 0.000 0.500
22 Al 0.500 0.500 0.000
23 Al 0.525 0.633 0.500
24 Al 0.548 0.180 0.500
25 Al 0.595 0.754 0.000
26 Al 0.661 0.880 0.500
27 Al 0.662 0.045 0.000
28 Al 0.668 0.492 0.500
29 Al 0.736 0.673 0.500
30 Al 0.764 0.173 0.500
31 Al 0.832 0.992 0.500
32 Al 0.838 0.545 0.000
33 Al 0.839 0.380 0.500
34 Al 0.905 0.254 0.000
35 Al 0.952 0.680 0.500
36 Al 0.975 0.133 0.500
37 Co 0.034 0.593 0.000
38 Co 0.150 0.902 0.000
39 Co 0.350 0.402 0.000
40 Co 0.466 0.093 0.000
41 Co 0.534 0.907 0.000
42 Co 0.650 0.598 0.000
43 Co 0.850 0.098 0.000
44 Co 0.966 0.407 0.000

Calculated values
Energy above the lowest structure with this stoichiometry, meV/atom: 0
Formation enthalpy at 0 K, eV per atom: -0.4209
Raw total energy, eV per cell: -203.13
Symmetry: Pbam


# 3
VASP calculation (PBE) on CaAl8Co2 after structural relaxation.

Cell: 5.619 5.619 8.094 Å, 90.00 90.00 90.00°
Positions (direct):
1 Ca 0.000 0.000 0.000
2 Al 0.251 0.251 0.334
3 Al 0.251 0.251 0.666
4 Al 0.251 0.749 0.334
5 Al 0.251 0.749 0.666
6 Al 0.749 0.251 0.334
7 Al 0.749 0.251 0.666
8 Al 0.749 0.749 0.334
9 Al 0.749 0.749 0.666
10 Co 0.000 0.500 0.500
11 Co 0.500 0.000 0.500

Calculated values
Energy above the lowest structure with this stoichiometry, meV/atom: 466
Formation enthalpy at 0 K, eV per atom: 0.0456
Raw total energy, eV per cell: -45.65
Symmetry: P4/mmm


# 4
VASP calculation (PBE) on CaAlCo2 after structural relaxation.

Cell: 4.485 4.485 4.485 Å, 60.00 60.00 60.00°
Positions (direct):
1 Ca 0.000 0.000 0.000
2 Al 0.750 0.750 0.750
3 Co 0.250 0.250 0.250
4 Co 0.500 0.500 0.500

Calculated values
Formation enthalpy at 0 K, eV per atom: 0.3128
Raw total energy, eV per cell: -18.70
Symmetry: F-43m


# 5
VASP calculation (PBE) on CaAlCo2H8 after structural relaxation.

Cell: 6.042 6.042 6.042 Å, 42.74 42.74 42.74°
Positions (direct):
1 Ca 0.000 0.000 0.000
2 Al 0.500 0.500 0.500
3 Co 0.197 0.197 0.197
4 Co 0.803 0.803 0.803
5 H 0.102 0.846 0.401
6 H 0.154 0.599 0.898
7 H 0.294 0.294 0.294
8 H 0.401 0.102 0.846
9 H 0.599 0.898 0.154
10 H 0.706 0.706 0.706
11 H 0.846 0.401 0.102
12 H 0.898 0.154 0.599

Calculated values
Raw total energy, eV per cell: -48.27
Symmetry: R-3


# 6
VASP calculation (PBE) on CaAlCo2Hg after structural relaxation.

Cell: 4.490 4.490 5.455 Å, 90.00 90.00 90.00°
Positions (direct):
1 Ca 0.000 0.000 0.000
2 Al 0.000 0.000 0.500
3 Co 0.000 0.500 0.500
4 Co 0.500 0.000 0.500
5 Hg 0.500 0.500 0.000

Calculated values
Energy above the lowest structure with this stoichiometry, meV/atom: 0
Formation enthalpy at 0 K, eV per atom: 0.6589
Raw total energy, eV per cell: -16.96
Symmetry: P4/mmm


# 7
VASP calculation (PBE) on CaAlCo2Hg after structural relaxation.

Cell: 4.874 4.874 5.428 Å, 90.00 90.00 90.00°
Positions (direct):
1 Ca 0.000 0.000 0.000
2 Al 0.500 0.500 0.000
3 Co 0.000 0.500 0.500
4 Co 0.500 0.000 0.500
5 Hg 0.000 0.000 0.500

Calculated values
Energy above the lowest structure with this stoichiometry, meV/atom: 429
Formation enthalpy at 0 K, eV per atom: 1.0881
Raw total energy, eV per cell: -14.82
Symmetry: P4/mmm


# 8
VASP calculation (PBE) on CaMgAl2Co after structural relaxation.

Cell: 4.588 4.588 4.804 Å, 90.00 90.00 90.00°
Positions (direct):
1 Ca 0.000 0.000 0.000
2 Mg 0.500 0.500 0.000
3 Al 0.000 0.500 0.500
4 Al 0.500 0.000 0.500
5 Co 0.500 0.500 0.500

Calculated values
Formation enthalpy at 0 K, eV per atom: -0.2054
Raw total energy, eV per cell: -19.21
Symmetry: P4/mmm


Q: The highest raw total energy belongs to which entry?
A: number 7